# 1
Compound: Tb6Pm3Sm2Y
Source: Alexandria
Functional: PBE
Structure: optimized geometry

## Properties
Total magnetization ... 0.00 μB per atom
Energy ... -57.78 eV per cell
Symmetry ... No. 12
DFT formation energy ... 0.01 eV per atom

Cell lengths 6.232, 6.232, 11.909 Å; angles 94.99, 94.99, 119.97 degrees
Fractional coordinates of all 12 atoms:
Tb  0.083  0.417  0.751
Tb  0.250  0.250  0.249
Tb  0.417  0.083  0.751
Tb  0.583  0.917  0.249
Tb  0.750  0.750  0.751
Tb  0.917  0.583  0.249
Pm  0.000  0.000  0.500
Pm  0.333  0.667  0.500
Pm  0.667  0.333  0.500
Sm  0.167  0.833  0.000
Sm  0.833  0.167  0.000
Y  0.500  0.500  0.000

# 2
Compound: LiAs2W
Source: Alexandria
Functional: PBE
Structure: optimized geometry

## Properties
Total magnetization ... 0.00 μB per atom
Energy ... -23.92 eV per cell
Symmetry ... No. 65
ΔE to the lowest computed polymorph ... 97 kJ/mol of formula units
DFT formation energy ... 0.06 eV per atom

Cell lengths 3.029, 3.029, 8.037 Å; angles 90.00, 90.00, 112.61 degrees
Fractional coordinates of all 4 atoms:
Li  0.000  0.000  0.000
As  0.500  0.500  0.258
As  0.500  0.500  0.742
W  0.000  0.000  0.500

# 3
Compound: SrHf2Ru
Source: Alexandria
Functional: PBE
Structure: optimized geometry

## Properties
Total magnetization ... 0.00 μB per atom
Energy ... -54.92 eV per cell
Symmetry ... No. 141
ΔE to the lowest computed polymorph ... 161 kJ/mol of formula units
DFT formation energy ... 0.85 eV per atom

Cell lengths 9.254, 9.254, 9.254 Å; angles 144.19, 144.19, 51.55 degrees
Fractional coordinates of all 8 atoms:
Sr  0.375  0.625  0.750
Sr  0.625  0.375  0.250
Hf  0.000  0.000  0.000
Hf  0.000  0.000  0.500
Hf  0.000  0.500  0.000
Hf  0.500  0.000  0.500
Ru  0.125  0.875  0.250
Ru  0.875  0.125  0.750